! PBE-GGA CeGaN, optimized geometry; values from VASP
! DFT total energy = -5.9016 eV/atom
! crystal system = tetragonal
! total magnetization = 0.6 μB per cell
! ΔE_f (raw) = -0.140 eV/atom
&SYSTEM
  ibrav = 0, nat = 3, ntyp = 3
/
ATOMIC_SPECIES
Ce 140.12 Ce.upf
Ga 69.72 Ga.upf
N 14.01 N.upf
ATOMIC_POSITIONS angstrom
Ce 2.1110 2.1110 0.5773
Ga 2.1110 2.1110 3.4596
N 0.0000 0.0000 1.8577
CELL_PARAMETERS angstrom
4.2219 0.0000 0.0000
0.0000 4.2219 0.0000
-2.1110 -2.1110 3.4674